[1]
## Cs2HWCl6 (GGA-PBE)

Data for a relaxed Cs2HWCl6 crystal.

Cell and atoms, written as CIF:
```
data_Cs2HWCl6
_cell_length_a 10.677
_cell_length_b 10.677
_cell_length_c 10.677
_cell_angle_alpha 90.00
_cell_angle_beta 90.00
_cell_angle_gamma 90.00
_space_group_name_H-M_alt 'F m -3 m'
_space_group_IT_number 225
_space_group_name_Hall '-F 4 2 3'
loop_
_atom_site_label
_atom_site_type_symbol
_atom_site_fract_x
_atom_site_fract_y
_atom_site_fract_z
Cs1 Cs 0.250 0.250 0.250
H1 H 0.000 0.000 0.000
W1 W 0.000 0.000 0.500
Cl1 Cl 0.000 0.000 0.275
```

Summary:
**E**: -0.14537 hartree per atom



[2]
## Cs2YHCl6 (GGA-PBE)

Data for a relaxed Cs2YHCl6 crystal.

Cell and atoms, written as CIF:
```
data_Cs2YHCl6
_cell_length_a 6.957
_cell_length_b 6.957
_cell_length_c 12.158
_cell_angle_alpha 90.00
_cell_angle_beta 90.00
_cell_angle_gamma 90.00
_space_group_name_H-M_alt 'I 4/m m m'
_space_group_IT_number 139
_space_group_name_Hall '-I 4 2'
loop_
_atom_site_label
_atom_site_type_symbol
_atom_site_fract_x
_atom_site_fract_y
_atom_site_fract_z
Cs1 Cs 0.000 0.500 0.250
Y1 Y 0.000 0.000 0.000
H1 H 0.000 0.000 0.500
Cl1 Cl 0.000 0.000 0.216
Cl2 Cl 0.228 0.228 0.500
```

Summary:
**E**: -0.14115 hartree per atom



Number 1: magnetization 12.00 μB per cell. Number 2: magnetization 0.00 μB per cell.